Record 1
Material: NaPaPtO4
Method: DFT, GGA-PBE
State: optimized geometry

a b c (Å): 7.026 7.026 7.026
angles (deg): 127.59 122.03 81.93
Atoms (fractional coordinates):
Na (0.422, 0.172, 0.250)
Na (0.578, 0.828, 0.750)
Pa (0.000, 0.500, 0.500)
Pa (0.500, 0.500, 0.000)
Pt (0.000, 0.000, 0.500)
Pt (0.000, 0.500, 0.000)
O (0.155, 0.713, 0.442)
O (0.229, 0.287, 0.942)
O (0.292, 0.334, 0.543)
O (0.292, 0.749, 0.957)
O (0.708, 0.251, 0.043)
O (0.708, 0.666, 0.457)
O (0.771, 0.713, 0.058)
O (0.845, 0.287, 0.558)

Formation energy (no corrections) ... -2.188 eV per atom
Magnetic moment ... 0.0 μB/f.u.
Electronic total energy ... -7.429 eV/atom
V ... 16.0 A^3/atom

Record 2
Material: Sc2GaGe2
Method: DFT, GGA-PBE
State: optimized geometry

a b c (Å): 7.684 7.684 3.414
angles (deg): 90.00 90.00 90.00
Atoms (fractional coordinates):
Sc (0.140, 0.360, 0.000)
Sc (0.360, 0.860, 0.000)
Sc (0.640, 0.140, 0.000)
Sc (0.860, 0.640, 0.000)
Ga (0.000, 0.000, 0.000)
Ga (0.500, 0.500, 0.000)
Ge (0.167, 0.667, 0.500)
Ge (0.333, 0.167, 0.500)
Ge (0.667, 0.833, 0.500)
Ge (0.833, 0.333, 0.500)

DOS at the Fermi energy ... 2.094 states/eV/f.u.
Magnetic moment ... 0.0 μB/f.u.
Electronic total energy ... -5.388 eV/atom
V ... 20.2 A^3/atom
E_form ... -2.02 eV per formula unit
ΔE to the lowest computed polymorph ... 243 meV per atom

Record 3
Material: PmSnSe2O
Method: DFT, GGA-PBE
State: optimized geometry

a b c (Å): 3.969 3.969 15.390
angles (deg): 90.00 90.00 90.00
Atoms (fractional coordinates):
Pm (0.250, 0.250, 0.078)
Pm (0.750, 0.750, 0.922)
Sn (0.250, 0.250, 0.651)
Sn (0.750, 0.750, 0.349)
Se (0.250, 0.250, 0.395)
Se (0.250, 0.250, 0.818)
Se (0.750, 0.750, 0.182)
Se (0.750, 0.750, 0.605)
O (0.250, 0.750, 0.000)
O (0.750, 0.250, 0.000)

DOS at the Fermi energy ... 1.087 states/eV/f.u.
Formation energy (no corrections) ... -1.680 eV per atom
Magnetic moment ... 0.0 μB/f.u.
Electronic total energy ... -5.816 eV/atom
V ... 24.2 A^3/atom

Record 4
Material: Sc3CoP2
Method: DFT, GGA-PBE
State: optimized geometry

a b c (Å): 10.162 3.810 10.430
angles (deg): 90.00 90.00 90.00
Atoms (fractional coordinates):
Sc (0.056, 0.250, 0.123)
Sc (0.118, 0.750, 0.560)
Sc (0.210, 0.250, 0.806)
Sc (0.290, 0.750, 0.306)
Sc (0.382, 0.250, 0.060)
Sc (0.444, 0.750, 0.623)
Sc (0.556, 0.250, 0.377)
Sc (0.618, 0.750, 0.940)
Sc (0.710, 0.250, 0.694)
Sc (0.790, 0.750, 0.194)
Sc (0.882, 0.250, 0.440)
Sc (0.944, 0.750, 0.877)
Co (0.134, 0.250, 0.360)
Co (0.366, 0.750, 0.860)
Co (0.634, 0.250, 0.140)
Co (0.866, 0.750, 0.640)
P (0.023, 0.750, 0.313)
P (0.191, 0.750, 0.997)
P (0.309, 0.250, 0.497)
P (0.477, 0.250, 0.813)
P (0.523, 0.750, 0.187)
P (0.691, 0.750, 0.503)
P (0.809, 0.250, 0.003)
P (0.977, 0.250, 0.687)

DOS at the Fermi energy ... 2.487 states/eV/f.u.
Magnetic moment ... 0.0 μB/f.u.
Electronic total energy ... -7.317 eV/atom
V ... 16.8 A^3/atom
E_form ... -6.98 eV per formula unit

Record 5
Material: AgTePdCl2
Method: DFT, GGA-PBE
State: optimized geometry

a b c (Å): 5.317 5.317 5.376
angles (deg): 90.00 90.00 90.00
Atoms (fractional coordinates):
Ag (0.000, 0.000, 0.000)
Te (0.000, 0.000, 0.500)
Pd (0.500, 0.500, 0.000)
Cl (0.000, 0.500, 0.500)
Cl (0.500, 0.000, 0.500)

DOS at the Fermi energy ... 3.434 states/eV/f.u.
Formation energy (no corrections) ... 0.454 eV per atom
Magnetic moment ... 0.0 μB/f.u.
Electronic total energy ... -2.522 eV/atom
V ... 30.4 A^3/atom

Record 6
Material: LiZr3C
Method: DFT, GGA-PBE
State: optimized geometry

a b c (Å): 4.582 4.582 4.582
angles (deg): 90.00 90.00 90.00
Atoms (fractional coordinates):
Li (0.000, 0.000, 0.000)
Zr (0.000, 0.500, 0.500)
Zr (0.500, 0.000, 0.500)
Zr (0.500, 0.500, 0.000)
C (0.500, 0.500, 0.500)

DOS at the Fermi energy ... 3.948 states/eV/f.u.
Magnetic moment ... 0.0 μB/f.u.
Electronic total energy ... -7.493 eV/atom
V ... 19.2 A^3/atom
E_form ... -0.68 eV per formula unit
ΔE to the lowest computed polymorph ... 0 meV per atom

Record 7
Material: La2SnI
Method: DFT, GGA-PBE
State: optimized geometry

a b c (Å): 8.509 8.509 8.509
angles (deg): 31.19 31.19 31.19
Atoms (fractional coordinates):
La (0.000, 0.000, 0.000)
La (0.190, 0.190, 0.190)
Sn (0.596, 0.596, 0.596)
I (0.426, 0.426, 0.426)

DOS at the Fermi energy ... 3.310 states/eV/f.u.
Formation energy (no corrections) ... -0.938 eV per atom
Magnetic moment ... 0.0 μB/f.u.
Electronic total energy ... -4.790 eV/atom
V ... 36.7 A^3/atom
ΔE to the lowest computed polymorph ... 44 meV per atom

Record 8
Material: Na4ZnSn3S8
Method: DFT, GGA-PBE
State: optimized geometry

a b c (Å): 8.076 8.076 8.076
angles (deg): 56.61 56.61 56.61
Atoms (fractional coordinates):
Na (0.000, 0.000, 0.000)
Na (0.000, 0.500, 0.500)
Na (0.500, 0.000, 0.500)
Na (0.500, 0.500, 0.000)
Zn (0.500, 0.500, 0.500)
Sn (0.000, 0.000, 0.500)
Sn (0.000, 0.500, 0.000)
Sn (0.500, 0.000, 0.000)
S (0.243, 0.243, 0.243)
S (0.248, 0.734, 0.734)
S (0.266, 0.266, 0.752)
S (0.266, 0.752, 0.266)
S (0.734, 0.248, 0.734)
S (0.734, 0.734, 0.248)
S (0.752, 0.266, 0.266)
S (0.757, 0.757, 0.757)

DOS at the Fermi energy ... 3.749 states/eV/f.u.
Formation energy (no corrections) ... -0.726 eV per atom
Magnetic moment ... 0.0 μB/f.u.
Electronic total energy ... -3.949 eV/atom
V ... 21.5 A^3/atom

Record 9
Material: CdBr2Cl2
Method: DFT, GGA-PBE
State: optimized geometry

a b c (Å): 6.898 6.898 7.722
angles (deg): 90.00 90.00 90.00
Atoms (fractional coordinates):
Cd (0.000, 0.000, 0.000)
Cd (0.500, 0.500, 0.000)
Br (0.119, 0.381, 0.500)
Br (0.381, 0.881, 0.500)
Br (0.619, 0.119, 0.500)
Br (0.881, 0.619, 0.500)
Cl (0.178, 0.678, 0.000)
Cl (0.322, 0.178, 0.000)
Cl (0.678, 0.822, 0.000)
Cl (0.822, 0.322, 0.000)

DOS at the Fermi energy ... 0.000 states/eV/f.u.
Formation energy (no corrections) ... -0.445 eV per atom
Magnetic moment ... 0.0 μB/f.u.
Electronic total energy ... -2.036 eV/atom
V ... 36.7 A^3/atom
ΔE to the lowest computed polymorph ... 59 meV per atom

Record 10
Material: Cs2KRb2Au
Method: DFT, GGA-PBE
State: optimized geometry

a b c (Å): 11.080 11.080 11.080
angles (deg): 104.76 93.26 133.51
Atoms (fractional coordinates):
Cs (0.194, 0.090, 0.283)
Cs (0.306, 0.590, 0.896)
Cs (0.694, 0.410, 0.104)
Cs (0.806, 0.910, 0.717)
K (0.250, 0.750, 0.500)
K (0.750, 0.250, 0.500)
Rb (0.068, 0.803, 0.870)
Rb (0.432, 0.303, 0.735)
Rb (0.568, 0.697, 0.265)
Rb (0.932, 0.197, 0.130)
Au (0.250, 0.250, 0.000)
Au (0.750, 0.750, 0.000)

DOS at the Fermi energy ... 4.650 states/eV/f.u.
Magnetic moment ... 0.0 μB/f.u.
Electronic total energy ... -1.415 eV/atom
V ... 75.0 A^3/atom
E_form ... -0.47 eV per formula unit

Record 11
Material: TaMoAu
Method: DFT, GGA-PBE
State: optimized geometry

a b c (Å): 6.966 6.966 6.966
angles (deg): 157.04 157.04 32.70
Atoms (fractional coordinates):
Ta (0.000, 0.000, 0.000)
Mo (0.331, 0.331, 0.000)
Au (0.666, 0.666, 0.000)

DOS at the Fermi energy ... 2.263 states/eV/f.u.
Magnetic moment ... 0.0 μB/f.u.
Electronic total energy ... -8.555 eV/atom
V ... 17.1 A^3/atom
E_form ... 0.30 eV per formula unit
ΔE to the lowest computed polymorph ... 158 meV per atom

Record 12
Material: Ho2NiIr
Method: DFT, GGA-PBE
State: optimized geometry

a b c (Å): 8.803 8.803 8.803
angles (deg): 24.38 24.38 24.38
Atoms (fractional coordinates):
Ho (0.100, 0.100, 0.100)
Ho (0.900, 0.900, 0.900)
Ni (0.000, 0.000, 0.000)
Ir (0.500, 0.500, 0.500)

DOS at the Fermi energy ... 2.607 states/eV/f.u.
Magnetic moment ... 0.0 μB/f.u.
Electronic total energy ... -5.821 eV/atom
V ... 25.5 A^3/atom
E_form ... 0.51 eV per formula unit

Record 13
Material: Ti3SiOs
Method: DFT, GGA-PBE
State: optimized geometry

a b c (Å): 4.697 4.697 4.697
angles (deg): 90.00 90.00 90.00
Atoms (fractional coordinates):
Ti (0.000, 0.000, 0.500)
Ti (0.000, 0.500, 0.000)
Ti (0.500, 0.000, 0.000)
Si (0.500, 0.500, 0.500)
Os (0.000, 0.000, 0.000)

DOS at the Fermi energy ... 6.967 states/eV/f.u.
Formation energy (no corrections) ... 0.532 eV per atom
Magnetic moment ... 0.7 μB/f.u.
Electronic total energy ... -7.535 eV/atom
V ... 20.7 A^3/atom
ΔE to the lowest computed polymorph ... 0 meV per atom

Record 14
Material: CaCr2CoS
Method: DFT, GGA-PBE
State: optimized geometry

a b c (Å): 5.477 5.477 4.894
angles (deg): 90.00 90.00 90.00
Atoms (fractional coordinates):
Ca (0.000, 0.000, 0.000)
Cr (0.000, 0.500, 0.000)
Cr (0.500, 0.000, 0.000)
Co (0.500, 0.500, 0.500)
S (0.000, 0.000, 0.500)

DOS at the Fermi energy ... 3.191 states/eV/f.u.
Formation energy (no corrections) ... 1.704 eV per atom
Magnetic moment ... 7.8 μB/f.u.
Electronic total energy ... -4.792 eV/atom
V ... 29.4 A^3/atom

Record 15
Material: CaTaGe
Method: DFT, GGA-PBE
State: optimized geometry

a b c (Å): 3.035 5.295 8.268
angles (deg): 74.72 79.75 89.65
Atoms (fractional coordinates):
Ca (0.066, 0.304, 0.363)
Ca (0.934, 0.696, 0.637)
Ta (0.246, 0.729, 0.006)
Ta (0.754, 0.271, 0.994)
Ge (0.387, 0.148, 0.731)
Ge (0.613, 0.852, 0.269)

DOS at the Fermi energy ... 2.134 states/eV/f.u.
Magnetic moment ... 0.0 μB/f.u.
Electronic total energy ... -6.342 eV/atom
V ... 21.0 A^3/atom
E_form ... -0.55 eV per formula unit

Record 16
Material: SnSbIrO2
Method: DFT, GGA-PBE
State: optimized geometry

a b c (Å): 3.908 3.908 6.286
angles (deg): 90.00 90.00 90.00
Atoms (fractional coordinates):
Sn (0.000, 0.000, 0.000)
Sb (0.500, 0.500, 0.000)
Ir (0.000, 0.000, 0.500)
O (0.000, 0.500, 0.500)
O (0.500, 0.000, 0.500)

DOS at the Fermi energy ... 4.049 states/eV/f.u.
Formation energy (no corrections) ... -0.017 eV per atom
Magnetic moment ... 0.7 μB/f.u.
Electronic total energy ... -5.398 eV/atom
V ... 19.2 A^3/atom

Record 17
Material: Zr2InAu4
Method: DFT, GGA-PBE
State: optimized geometry

a b c (Å): 8.114 8.114 8.114
angles (deg): 33.99 33.99 33.99
Atoms (fractional coordinates):
Zr (0.247, 0.247, 0.247)
Zr (0.753, 0.753, 0.753)
In (0.500, 0.500, 0.500)
Au (0.114, 0.114, 0.114)
Au (0.369, 0.369, 0.369)
Au (0.631, 0.631, 0.631)
Au (0.886, 0.886, 0.886)

DOS at the Fermi energy ... 3.611 states/eV/f.u.
Magnetic moment ... 0.0 μB/f.u.
Electronic total energy ... -5.059 eV/atom
V ... 21.3 A^3/atom
E_form ... -2.47 eV per formula unit

Record 18
Material: NdY2
Method: DFT, GGA-PBE
State: optimized geometry

a b c (Å): 6.718 6.718 6.718
angles (deg): 60.00 60.00 60.00
Atoms (fractional coordinates):
Nd (0.125, 0.125, 0.125)
Nd (0.875, 0.875, 0.875)
Y (0.000, 0.500, 0.500)
Y (0.500, 0.000, 0.500)
Y (0.500, 0.500, 0.000)
Y (0.500, 0.500, 0.500)

DOS at the Fermi energy ... 8.092 states/eV/f.u.
Magnetic moment ... 2.2 μB/f.u.
Electronic total energy ... -5.600 eV/atom
V ... 35.7 A^3/atom
E_form ... 0.90 eV per formula unit
ΔE to the lowest computed polymorph ... 309 meV per atom

Record 19
Material: Np3ReN6
Method: DFT, GGA-PBE
State: optimized geometry

a b c (Å): 6.456 6.456 6.456
angles (deg): 97.22 97.22 97.22
Atoms (fractional coordinates):
Np (0.096, 0.778, 0.605)
Np (0.222, 0.395, 0.904)
Np (0.395, 0.904, 0.222)
Np (0.605, 0.096, 0.778)
Np (0.778, 0.605, 0.096)
Np (0.904, 0.222, 0.395)
Re (0.000, 0.000, 0.000)
Re (0.500, 0.500, 0.500)
N (0.068, 0.923, 0.310)
N (0.077, 0.690, 0.932)
N (0.192, 0.438, 0.553)
N (0.310, 0.068, 0.923)
N (0.438, 0.553, 0.192)
N (0.447, 0.808, 0.562)
N (0.553, 0.192, 0.438)
N (0.562, 0.447, 0.808)
N (0.690, 0.932, 0.077)
N (0.808, 0.562, 0.447)
N (0.923, 0.310, 0.068)
N (0.932, 0.077, 0.690)

DOS at the Fermi energy ... 16.283 states/eV/f.u.
Formation energy (no corrections) ... -0.840 eV per atom
Magnetic moment ... 7.0 μB/f.u.
Electronic total energy ... -10.962 eV/atom
V ... 13.1 A^3/atom
ΔE to the lowest computed polymorph ... 19 meV per atom

Record 20
Material: LaPmCdGa
Method: DFT, GGA-PBE
State: optimized geometry

a b c (Å): 3.705 3.705 7.977
angles (deg): 90.00 90.00 90.00
Atoms (fractional coordinates):
La (0.000, 0.000, 0.000)
Pm (0.000, 0.000, 0.462)
Cd (0.500, 0.500, 0.717)
Ga (0.500, 0.500, 0.241)

DOS at the Fermi energy ... 2.634 states/eV/f.u.
Magnetic moment ... 0.0 μB/f.u.
Electronic total energy ... -3.858 eV/atom
V ... 27.4 A^3/atom
E_form ... -1.81 eV per formula unit
ΔE to the lowest computed polymorph ... 0 meV per atom

Record 21
Material: NaMgGaAu2
Method: DFT, GGA-PBE
State: optimized geometry

a b c (Å): 5.032 5.032 5.404
angles (deg): 90.00 90.00 90.00
Atoms (fractional coordinates):
Na (0.000, 0.000, 0.000)
Mg (0.000, 0.000, 0.500)
Ga (0.500, 0.500, 0.000)
Au (0.000, 0.500, 0.500)
Au (0.500, 0.000, 0.500)

DOS at the Fermi energy ... 2.320 states/eV/f.u.
Magnetic moment ... 0.0 μB/f.u.
Electronic total energy ... -2.189 eV/atom
V ... 27.4 A^3/atom
E_form ... 1.55 eV per formula unit

Record 22
Material: Er2InGa
Method: DFT, GGA-PBE
State: optimized geometry

a b c (Å): 5.155 5.155 5.155
angles (deg): 60.00 60.00 60.00
Atoms (fractional coordinates):
Er (0.250, 0.250, 0.250)
Er (0.750, 0.750, 0.750)
In (0.000, 0.000, 0.000)
Ga (0.500, 0.500, 0.500)

DOS at the Fermi energy ... 1.295 states/eV/f.u.
Magnetic moment ... 0.0 μB/f.u.
Electronic total energy ... -4.207 eV/atom
V ... 24.2 A^3/atom
E_form ... -1.94 eV per formula unit
ΔE to the lowest computed polymorph ... 20 meV per atom

Record 23
Material: La2NdYS4
Method: DFT, GGA-PBE
State: optimized geometry

a b c (Å): 7.068 4.044 7.090
angles (deg): 90.00 109.15 90.00
Atoms (fractional coordinates):
La (0.000, 0.000, 0.000)
La (0.500, 0.500, 0.000)
Nd (0.000, 0.500, 0.500)
Y (0.500, 0.000, 0.500)
S (0.253, 0.000, 0.740)
S (0.262, 0.500, 0.265)
S (0.738, 0.500, 0.735)
S (0.747, 0.000, 0.260)

DOS at the Fermi energy ... 4.963 states/eV/f.u.
Formation energy (no corrections) ... -2.090 eV per atom
Magnetic moment ... 0.0 μB/f.u.
Electronic total energy ... -6.790 eV/atom
V ... 23.9 A^3/atom

Record 24
Material: Np2SeS2
Method: DFT, GGA-PBE
State: optimized geometry

a b c (Å): 7.202 7.202 7.202
angles (deg): 147.26 136.29 55.66
Atoms (fractional coordinates):
Np (0.163, 0.163, 0.000)
Np (0.837, 0.837, 0.000)
Se (0.000, 0.500, 0.500)
S (0.305, 0.805, 0.500)
S (0.695, 0.195, 0.500)

DOS at the Fermi energy ... 16.587 states/eV/f.u.
Formation energy (no corrections) ... -1.326 eV per atom
Magnetic moment ... 8.0 μB/f.u.
Electronic total energy ... -8.851 eV/atom
V ... 27.7 A^3/atom
ΔE to the lowest computed polymorph ... 0 meV per atom